No. 1
Computed, not measured: crystalline Tb2PmAs3 at its relaxed geometry at the GGA-PBE level of DFT.

The space group is No. 71. For the formation energy, the calculation gives -35.4 kcal/mol of atoms. For the raw total energy, the calculation gives -6.19 eV per atom.

Geometry as extended XYZ:
```
6
Lattice="-2.088 2.950 6.256 2.088 -2.950 6.256 2.088 2.950 -6.256" Properties=species:S:1:pos:R:3 pbc="T T T"
Tb 0.000 0.000 2.079
Tb 0.000 0.000 10.433
Pm 0.000 0.000 6.256
As 2.088 0.000 0.000
As 2.088 0.000 4.130
As 0.000 2.950 2.126
```


No. 2
Computed, not measured: crystalline TbPmAs2 at its relaxed geometry at the GGA-PBE level of DFT.

The space group is No. 160. For the formation energy, the calculation gives -31.6 kcal/mol of atoms. For the raw total energy, the calculation gives -6.04 eV per atom.

Geometry as extended XYZ:
```
4
Lattice="2.075 1.198 7.132 -2.075 1.198 7.132 0.000 -2.396 7.132" Properties=species:S:1:pos:R:3 pbc="T T T"
Tb 0.000 0.000 0.000
Pm 0.000 0.000 3.669
As 0.000 0.000 12.545
As 0.000 0.000 16.077
```


No. 3
Computed, not measured: crystalline TbPm5As6 at its relaxed geometry at the GGA-PBE level of DFT.

The space group is No. 12. For the formation energy, the calculation gives -35.2 kcal/mol of atoms. For the raw total energy, the calculation gives -6.22 eV per atom.

Geometry as extended XYZ:
```
12
Lattice="3.658 -6.333 0.000 3.658 6.333 0.000 -2.440 0.000 6.895" Properties=species:S:1:pos:R:3 pbc="T T T"
Tb 0.000 0.000 0.000
Pm 2.438 4.213 3.447
Pm 3.658 2.109 0.000
Pm 2.438 0.000 3.447
Pm 3.658 -2.109 0.000
Pm 2.438 -4.213 3.447
As 1.207 2.091 1.708
As -0.025 0.000 5.183
As 1.207 -2.091 1.708
As 3.669 2.091 5.187
As 4.901 0.000 1.712
As 3.669 -2.091 5.187
```


No. 4
Computed, not measured: crystalline TbPmAs at its relaxed geometry at the GGA-PBE level of DFT.

The space group is No. 107. For the formation energy, the calculation gives -16.7 kcal/mol of atoms. For the raw total energy, the calculation gives -5.40 eV per atom.

Geometry as extended XYZ:
```
3
Lattice="-1.882 1.882 5.737 1.882 -1.882 5.737 1.882 1.882 -5.737" Properties=species:S:1:pos:R:3 pbc="T T T"
Tb 0.000 0.000 0.000
Pm 0.000 0.000 8.248
As 0.000 0.000 4.254
```